A geometry-optimized Rb2VAgO4 structure, computed with PBE+U.

extended XYZ file:
```
16
Lattice="-0.199 0.282 5.449 -1.350 -5.778 2.985 10.210 -2.015 3.212" Properties=species:S:1:pos:R:3 pbc="T T T"
Rb 3.422 -0.475 5.620
Rb 0.660 -2.928 7.014
Rb 6.589 -1.258 3.041
Rb 7.902 -4.443 7.357
O 4.985 -4.850 9.036
O 3.134 -4.618 5.428
O 5.556 -2.935 5.429
O 0.633 -1.064 3.785
O 3.648 -2.621 3.401
O 8.935 -2.766 4.969
O 7.957 -6.347 9.796
O -0.203 -4.846 4.743
V -0.099 0.141 2.724
V 4.380 -3.826 4.461
Ag 0.000 0.000 0.000
Ag 4.281 -3.685 7.185
```

The calculation puts the magnetic moment at 0.00 μB/atom. The total energy is -5.4688 eV per atom. As for the symmetry: Fddd. The value obtained for the calculated density is 3.75 g cm⁻³. As for the density of states at the Fermi level: 0.000 states/eV per atom.